Entry 1:
LiTa2As: optimized geometry, GGA-PBE.

Output
calculated volume = 16.8 Å³ per atom
uncorrected energy = -7.633 eV per atom
DFT formation energy = -66 meV/atom

```
LiTa2As
1.0
-3.407 0.405 -0.191
-0.389 -1.949 2.803
0.367 4.629 3.269
As Li Ta
1 1 2
Cartesian
0.188 2.372 1.676
-1.629 2.624 3.705
0.003 0.041 0.029
-1.808 0.361 2.106
```


Entry 2:
BaLiCu: optimized geometry, GGA-PBE.

Output
calculated volume = 28.4 Å³ per atom
uncorrected energy = -2.628 eV per atom
DFT formation energy = 16 meV/atom

```
BaLiCu
1.0
4.413 0.000 0.000
0.000 4.413 0.000
0.000 0.000 8.736
Ba Cu Li
2 2 2
Cartesian
0.000 2.206 7.205
2.206 0.000 1.531
0.000 2.206 2.734
2.206 0.000 6.002
2.206 2.206 4.368
0.000 0.000 4.368
```


Entry 3:
Ac2UGaRu4: optimized geometry, GGA-PBE.

Output
calculated volume = 22.3 Å³ per atom
uncorrected energy = -7.619 eV per atom
DFT formation energy = -164 meV/atom

```
Ac2UGaRu4
1.0
6.124 0.000 0.000
3.062 6.065 0.000
3.062 0.000 9.626
Ac U Ga Ru
4 2 2 8
Cartesian
3.062 0.000 6.230
6.124 0.000 3.396
7.656 3.032 8.209
7.656 3.032 1.417
4.593 3.032 4.813
3.062 0.000 0.000
7.656 3.032 4.813
0.000 0.000 0.000
4.684 4.431 1.290
4.684 1.634 8.337
10.627 4.431 8.337
4.502 1.634 1.290
6.033 4.666 3.524
6.033 1.398 6.103
9.278 4.666 6.103
3.153 1.398 3.524
```


Entry 4:
LaSc2TaO8: optimized geometry, GGA-PBE.

Output
ΔE_f (raw) = -2913 meV/atom
calculated volume = 13.6 Å³ per atom
uncorrected energy = -8.672 eV per atom

```
LaSc2TaO8
1.0
4.812 -0.023 -0.003
0.015 4.801 -0.005
0.004 0.007 7.071
La Sc Ta O
1 2 1 8
Cartesian
0.002 0.004 3.536
2.417 2.395 5.594
2.415 2.391 1.470
0.000 0.000 0.000
0.931 3.868 1.533
3.400 3.383 7.066
3.899 0.914 1.534
3.901 0.918 5.530
1.432 1.403 -0.002
0.933 3.872 5.529
2.937 2.940 3.531
1.895 1.845 3.533
```


> What is the calculated volume in the third record?

22.3 Å³ per atom